(1)
This record from the Alexandria database describes LiLa2Pt after structural relaxation. The functional is PBE-GGA.

The structure in POSCAR format:
```
LiLa2Pt
1.0
4.289 0.000 0.000
2.145 3.714 0.000
2.145 1.238 8.259
La Pt Li
2 1 1
direct
0.270 0.270 0.191 La
0.063 0.063 0.811 La
0.666 0.666 0.003 Pt
0.502 0.502 0.495 Li
```

Computed properties:
Volume, A^3/atom: 32.89
ΔH_f (0 K), eV per atom: -0.504
Magnetization, Bohr magnetons per cell: 0.0
Crystal system: trigonal
Space-group type: No. 160



(2)
This record from the Alexandria database describes LiLa4Pt after structural relaxation. The functional is PBE-GGA.

The structure in POSCAR format:
```
LiLa4Pt
1.0
0.000 4.498 4.498
4.498 0.000 4.498
4.498 4.498 0.000
La Pt Li
4 1 1
direct
0.372 0.372 0.372 La
0.372 0.372 0.883 La
0.372 0.883 0.372 La
0.883 0.372 0.372 La
0.000 0.000 0.000 Pt
0.750 0.750 0.750 Li
```

Computed properties:
Volume, A^3/atom: 30.33
Energy relative to the lowest polymorph listed for this composition, meV/atom: 616.0
ΔH_f (0 K), eV per atom: 0.376
Magnetization, Bohr magnetons per cell: 0.0
Crystal system: cubic
Space-group type: No. 216